Crystalline Pm3PrOs at its relaxed geometry, computed with GGA-PBE.

extended XYZ file:
```
10
Lattice="-3.441 5.398 -3.945 -4.700 -2.473 5.323 6.192 2.523 3.385" Properties=species:S:1:pos:R:3 pbc="T T T"
Pm -1.322 5.210 -2.059
Pm -1.107 0.971 2.432
Pm -0.842 4.477 2.331
Pm -3.596 3.057 0.113
Pm -0.627 0.238 6.823
Pm 1.646 2.391 4.650
Pr 2.022 5.593 0.075
Pr -3.972 -0.146 4.689
Os -3.336 2.522 2.779
Os 1.387 2.925 1.984
```

Results
**D(E_F)**: 10.10 states/eV/cell
**Energy of formation**: -0.082 eV/atom